Entry from the Alexandria database: K3BeGa after structural relaxation (PBE).

abc: 6.271 6.271 6.271
angles: 90.00 90.00 90.00
Sites, in units of the cell vectors:
K 0.000 0.000 0.500
K 0.000 0.500 0.000
K 0.500 0.000 0.000
Be 0.000 0.000 0.000
Ga 0.500 0.500 0.500

V ... 49.32 A^3/atom
Formation enthalpy at 0 K ... 3.62 eV per formula unit
Electronic total energy ... -6.4 eV per cell
DOS(E_F) ... 3.6 states/eV per cell


Entry from the Alexandria database: KBe3Ga after structural relaxation (PBE).

abc: 4.490 4.490 4.490
angles: 90.00 90.00 90.00
Sites, in units of the cell vectors:
K 0.000 0.000 0.000
Be 0.000 0.500 0.500
Be 0.500 0.000 0.500
Be 0.500 0.500 0.000
Ga 0.500 0.500 0.500

V ... 18.10 A^3/atom
Formation enthalpy at 0 K ... 4.11 eV per formula unit
Electronic total energy ... -11.2 eV per cell
DOS(E_F) ... 2.8 states/eV per cell


Entry from the Alexandria database: KBe3Ga after structural relaxation (PBE).

abc: 5.482 5.482 5.482
angles: 90.00 90.00 90.00
Sites, in units of the cell vectors:
K 0.000 0.000 0.000
Be 0.000 0.000 0.500
Be 0.000 0.500 0.000
Be 0.500 0.000 0.000
Ga 0.500 0.500 0.500

V ... 32.95 A^3/atom
Formation enthalpy at 0 K ... 11.18 eV per formula unit
Electronic total energy ... -4.1 eV per cell
DOS(E_F) ... 5.6 states/eV per cell


Entry from the Alexandria database: K2BeGa after structural relaxation (PBE).

abc: 9.178 9.178 9.178
angles: 93.21 93.21 152.65
Sites, in units of the cell vectors:
K 0.375 0.174 0.299
K 0.826 0.125 0.201
K 0.875 0.076 0.701
K 0.924 0.625 0.799
Be 0.000 0.000 0.000
Be 0.750 0.250 0.500
Ga 0.250 0.750 0.500
Ga 0.500 0.500 0.000

V ... 43.14 A^3/atom
Formation enthalpy at 0 K ... 1.09 eV per formula unit
Electronic total energy ... -15.7 eV per cell
DOS(E_F) ... 4.1 states/eV per cell


no.,energy above the most stable polymorph in this dataset (meV per atom),total magnetization (μB/cell)
1,0,0.00
2,0,0.00
3,1414,0.00
4,0,0.00